DFT (PBE-GGA) results for an optimized crystal structure of NaNp2ReO8.

Properties
E_form (uncorrected): -28.04 eV/f.u.
Uncorrected energy: -8.947 eV/atom

```
data_NaNp2ReO8
_cell_length_a 6.930
_cell_length_b 6.993
_cell_length_c 6.851
_cell_angle_alpha 90.00
_cell_angle_beta 90.00
_cell_angle_gamma 90.00
_space_group_name_H-M_alt 'C m m m'
_space_group_IT_number 65
_space_group_name_Hall '-C 2 2'
loop_
_atom_site_label
_atom_site_type_symbol
_atom_site_fract_x
_atom_site_fract_y
_atom_site_fract_z
_atom_site_occupancy
Na1 Na 0.000 0.000 0.000 1
Np1 Np 0.000 0.500 0.251 1
Re1 Re 0.000 0.000 0.500 1
O1 O 0.000 0.287 0.500 1
O2 O 0.000 0.322 0.000 1
O3 O 0.195 0.000 0.297 1
```